# 1
The following is a DFT calculation (PBE) of a relaxed structure of Mn2Sn2Au.

Values from the calculation:
Excess energy over the best structure of this formula in the dataset   0.147 eV per atom
SG   I4/mmm
Formation energy from the elements   0.3457 eV per atom
Energy   -5.579 eV per atom
N(E_F)   0.768 states/eV per atom

abc: 8.966 8.966 8.966
angles: 159.14 159.14 29.67
Fractional positions:
Mn 0.250 0.750 0.500
Mn 0.750 0.250 0.500
Sn 0.119 0.119 0.000
Sn 0.881 0.881 0.000
Au 0.500 0.500 0.000

# 2
The following is a DFT calculation (PBE) of a relaxed structure of Li4Ge3Pd.

Values from the calculation:
SG   C2/m
Formation energy from the elements   -0.2340 eV per atom
Energy   -3.572 eV per atom
N(E_F)   0.481 states/eV per atom

abc: 11.740 11.740 4.175
angles: 93.72 93.72 13.70
Fractional positions:
Li 0.106 0.106 0.215
Li 0.217 0.217 0.237
Li 0.783 0.783 0.763
Li 0.894 0.894 0.785
Ge 0.337 0.337 0.277
Ge 0.500 0.500 0.500
Ge 0.663 0.663 0.723
Pd 0.000 0.000 0.000

# 3
The following is a DFT calculation (PBE) of a relaxed structure of In4Sn12Bi.

Values from the calculation:
SG   Im-3
Formation energy from the elements   0.1949 eV per atom
Energy   -3.503 eV per atom
N(E_F)   0.586 states/eV per atom

abc: 8.816 8.816 8.816
angles: 109.47 109.47 109.47
Fractional positions:
In 0.000 0.000 0.500
In 0.000 0.500 0.000
In 0.500 0.000 0.000
In 0.500 0.500 0.500
Sn 0.146 0.352 0.497
Sn 0.146 0.648 0.794
Sn 0.206 0.854 0.352
Sn 0.352 0.206 0.854
Sn 0.352 0.497 0.146
Sn 0.497 0.146 0.352
Sn 0.503 0.854 0.648
Sn 0.648 0.503 0.854
Sn 0.648 0.794 0.146
Sn 0.794 0.146 0.648
Sn 0.854 0.352 0.206
Sn 0.854 0.648 0.503
Bi 0.000 0.000 0.000

# 4
The following is a DFT calculation (PBE) of a relaxed structure of RbNaIr2Rh.

Values from the calculation:
SG   P4/mmm
Formation energy from the elements   0.9264 eV per atom
Energy   -4.546 eV per atom
N(E_F)   0.713 states/eV per atom

abc: 4.796 4.796 5.439
angles: 90.00 90.00 90.00
Fractional positions:
Rb 0.000 0.000 0.000
Na 0.500 0.500 0.000
Ir 0.000 0.500 0.500
Ir 0.500 0.000 0.500
Rh 0.500 0.500 0.500

# 5
The following is a DFT calculation (PBE) of a relaxed structure of CeHo12Sc2.

Values from the calculation:
SG   P4/nbm
Formation energy from the elements   0.3896 eV per atom
Energy   -4.512 eV per atom
N(E_F)   1.790 states/eV per atom

abc: 6.250 6.250 24.942
angles: 90.00 90.00 90.00
Fractional positions:
Ce 0.250 0.750 0.000
Ce 0.750 0.250 0.000
Ho 0.066 0.566 0.115
Ho 0.066 0.934 0.885
Ho 0.080 0.580 0.439
Ho 0.080 0.920 0.561
Ho 0.250 0.250 0.216
Ho 0.250 0.250 0.338
Ho 0.250 0.250 0.662
Ho 0.250 0.250 0.784
Ho 0.420 0.580 0.561
Ho 0.420 0.920 0.439
Ho 0.434 0.566 0.885
Ho 0.434 0.934 0.115
Ho 0.566 0.066 0.885
Ho 0.566 0.434 0.115
Ho 0.580 0.080 0.561
Ho 0.580 0.420 0.439
Ho 0.750 0.750 0.216
Ho 0.750 0.750 0.338
Ho 0.750 0.750 0.662
Ho 0.750 0.750 0.784
Ho 0.920 0.080 0.439
Ho 0.920 0.420 0.561
Ho 0.934 0.066 0.115
Ho 0.934 0.434 0.885
Sc 0.250 0.750 0.275
Sc 0.250 0.750 0.725
Sc 0.750 0.250 0.275
Sc 0.750 0.250 0.725

# 6
The following is a DFT calculation (PBE) of a relaxed structure of LaCoP.

Values from the calculation:
SG   F-43m
Formation energy from the elements   0.2472 eV per atom
Energy   -5.567 eV per atom
N(E_F)   1.209 states/eV per atom

abc: 4.760 4.760 4.760
angles: 60.00 60.00 60.00
Fractional positions:
La 0.000 0.000 0.000
Co 0.750 0.750 0.750
P 0.250 0.250 0.250

Q: Look up the N(E_F) of the fourth one.
A: 0.713 states/eV per atom